Record 1
Compound: YSc3
Source: Alexandria
Functional: meta-GGA SCAN
Structure: single point on PBEsol structure

The space group is Imm2 (No. 44) and the conventional cell measures 3.358, 10.395 and 5.786 Å, with angles of 90.00, 90.00 and 90.00 degrees. The asymmetric unit holds Y at (0.000, 0.000, 0.000), Sc at (0.000, 0.245, 0.342) and Sc at (0.000, 0.500, 0.005).

For the volume, the calculation gives 202.0 Å³/cell. As for the total energy: -17.602 eV per atom. Its energy of formation is 0.1 eV per formula unit. The calculation puts the polymorph energy (0 for the lowest one) at 20.4 meV per atom.



Record 2
Compound: KCo2Si
Source: Alexandria
Functional: meta-GGA SCAN
Structure: single point on PBEsol structure

The space group is Pmm2 (No. 25) and the conventional cell measures 2.620, 3.425 and 7.360 Å, with angles of 90.00, 90.00 and 90.00 degrees. The asymmetric unit holds K at (0.000, 0.000, 0.000), Co at (0.000, 0.000, 0.504), Co at (0.500, 0.500, 0.646) and Si at (0.500, 0.500, 0.340).

For the volume, the calculation gives 66.1 Å³/cell. As for the total energy: -12.869 eV per atom. The value obtained for the uncorrected formation energy is 0.369 eV per atom.



Record 3
Compound: LiMoP3
Source: Alexandria
Functional: meta-GGA SCAN
Structure: single point on PBEsol structure

The space group is Pm-3m (No. 221) and the conventional cell measures 4.673, 4.673 and 4.673 Å, with angles of 90.00, 90.00 and 90.00 degrees. The asymmetric unit holds Li at (0.000, 0.000, 0.000), Mo at (0.500, 0.500, 0.500) and P at (0.000, 0.500, 0.500).

For the volume, the calculation gives 102.0 Å³/cell. As for the total energy: -13.450 eV per atom. Its energy of formation is 1.2 eV per formula unit.



Record 4
Compound: YFe2Ir
Source: Alexandria
Functional: meta-GGA SCAN
Structure: single point on PBEsol structure

The space group is P4/mmm (No. 123) and the conventional cell measures 3.168, 3.168 and 6.304 Å, with angles of 90.00, 90.00 and 90.00 degrees. The asymmetric unit holds Y at (0.000, 0.000, 0.000), Fe at (0.500, 0.500, 0.314) and Ir at (0.000, 0.000, 0.500).

For the volume, the calculation gives 63.3 Å³/cell. As for the total energy: -33.722 eV per atom. Its energy of formation is 0.3 eV per formula unit.



Record 5
Compound: Ta3Tc
Source: Alexandria
Functional: meta-GGA SCAN
Structure: single point on PBEsol structure

The space group is Immm (No. 71) and the conventional cell measures 3.195, 4.516 and 9.189 Å, with angles of 90.00, 90.00 and 90.00 degrees. The asymmetric unit holds Ta at (0.000, 0.000, 0.000), Ta at (0.000, 0.500, 0.241) and Tc at (0.000, 0.000, 0.500).

For the volume, the calculation gives 132.6 Å³/cell. As for the total energy: -59.024 eV per atom. Its energy of formation is -1.3 eV per formula unit. The calculation puts the polymorph energy (0 for the lowest one) at 0.0 meV per atom.



Record 6
Compound: CuSb2Pt
Source: Alexandria
Functional: meta-GGA SCAN
Structure: single point on PBEsol structure

The space group is Imm2 (No. 44) and the conventional cell measures 3.012, 4.977 and 10.151 Å, with angles of 90.00, 90.00 and 90.00 degrees. The asymmetric unit holds Cu at (0.000, 0.000, 0.000), Sb at (0.000, 0.000, 0.543), Sb at (0.000, 0.500, 0.745) and Pt at (0.000, 0.500, 0.282).

For the volume, the calculation gives 152.1 Å³/cell. As for the total energy: -39.802 eV per atom. The value obtained for the uncorrected formation energy is 0.177 eV per atom.



| no. | total moment (μB per formula unit) |
| --- | --- |
| 1 | 1.73 |
| 2 | 3.11 |
| 3 | 0.00 |
| 4 | 5.69 |
| 5 | 0.00 |
| 6 | 0.00 |